1.
DFT (GGA-PBE) results for PuSc5In6 after structural relaxation.

Computed properties:
energy of formation = -370 meV/atom
D(E_F) = 1.30 states/eV/atom
total moment = 0.62 μB per atom
VASP energy = -5.57 eV per atom

Geometry as CIF:
```
data_PuSc5In6
_cell_length_a 8.505
_cell_length_b 8.505
_cell_length_c 8.505
_cell_angle_alpha 148.47
_cell_angle_beta 118.61
_cell_angle_gamma 70.66
_space_group_name_H-M_alt 'P 1'
_space_group_IT_number 1
loop_
_space_group_symop_operation_xyz
'x,y,z'
loop_
_atom_site_label
_atom_site_type_symbol
_atom_site_fract_x
_atom_site_fract_y
_atom_site_fract_z
Pu1 Pu 0.000 0.000 0.000
Sc1 Sc 0.161 0.661 0.500
Sc2 Sc 0.330 0.330 0.000
Sc3 Sc 0.500 0.000 0.500
Sc4 Sc 0.670 0.670 0.000
Sc5 Sc 0.839 0.339 0.500
In1 In 0.084 0.830 0.255
In2 In 0.259 0.500 0.759
In3 In 0.425 0.170 0.255
In4 In 0.575 0.830 0.745
In5 In 0.741 0.500 0.241
In6 In 0.916 0.170 0.745
```

***

2.
DFT (GGA-PBE) results for Sm2NpTl3S6 after structural relaxation.

Computed properties:
D(E_F) = 0.53 states/eV/atom
total moment = 0.33 μB per atom
energy relative to the elements, uncorrected = -15.7 eV per formula unit
VASP energy = -5.83 eV per atom

Geometry as CIF:
```
data_Sm2NpTl3S6
_cell_length_a 7.127
_cell_length_b 7.127
_cell_length_c 7.867
_cell_angle_alpha 98.68
_cell_angle_beta 98.68
_cell_angle_gamma 120.00
_space_group_name_H-M_alt 'P 1'
_space_group_IT_number 1
loop_
_space_group_symop_operation_xyz
'x,y,z'
loop_
_atom_site_label
_atom_site_type_symbol
_atom_site_fract_x
_atom_site_fract_y
_atom_site_fract_z
Sm1 Sm 0.167 0.833 0.000
Sm2 Sm 0.833 0.167 0.000
Np1 Np 0.500 0.500 0.000
Tl1 Tl 0.000 0.000 0.500
Tl2 Tl 0.333 0.667 0.500
Tl3 Tl 0.667 0.333 0.500
S1 S 0.104 0.433 0.800
S2 S 0.237 0.237 0.201
S3 S 0.433 0.104 0.800
S4 S 0.567 0.896 0.200
S5 S 0.763 0.763 0.799
S6 S 0.896 0.567 0.200
```

***

3.
DFT (GGA-PBE) results for Ca4H5N after structural relaxation.

Computed properties:
total moment = 0.01 μB per atom
VASP energy = -3.89 eV per atom

Geometry as CIF:
```
data_Ca4H5N
_cell_length_a 7.652
_cell_length_b 7.844
_cell_length_c 5.567
_cell_angle_alpha 90.00
_cell_angle_beta 90.00
_cell_angle_gamma 90.00
_space_group_name_H-M_alt 'P 1'
_space_group_IT_number 1
loop_
_space_group_symop_operation_xyz
'x,y,z'
loop_
_atom_site_label
_atom_site_type_symbol
_atom_site_fract_x
_atom_site_fract_y
_atom_site_fract_z
Ca1 Ca 0.007 0.250 0.063
Ca2 Ca 0.250 0.016 0.485
Ca3 Ca 0.250 0.484 0.485
Ca4 Ca 0.493 0.250 0.063
Ca5 Ca 0.507 0.750 0.937
Ca6 Ca 0.750 0.516 0.515
Ca7 Ca 0.750 0.984 0.515
Ca8 Ca 0.993 0.750 0.937
H1 H 0.009 0.048 0.752
H2 H 0.009 0.452 0.752
H3 H 0.250 0.750 0.709
H4 H 0.491 0.048 0.752
H5 H 0.491 0.452 0.752
H6 H 0.509 0.548 0.248
H7 H 0.509 0.952 0.248
H8 H 0.750 0.250 0.291
H9 H 0.991 0.548 0.248
H10 H 0.991 0.952 0.248
N1 N 0.250 0.250 0.267
N2 N 0.750 0.750 0.733
```

***

4.
DFT (GGA-PBE) results for TlZnPd3 after structural relaxation.

Computed properties:
energy of formation = -224 meV/atom
D(E_F) = 0.35 states/eV/atom
total moment = 0.00 μB per atom
VASP energy = -4.07 eV per atom

Geometry as CIF:
```
data_TlZnPd3
_cell_length_a 5.538
_cell_length_b 5.554
_cell_length_c 7.172
_cell_angle_alpha 99.16
_cell_angle_beta 103.85
_cell_angle_gamma 118.59
_space_group_name_H-M_alt 'P 1'
_space_group_IT_number 1
loop_
_space_group_symop_operation_xyz
'x,y,z'
loop_
_atom_site_label
_atom_site_type_symbol
_atom_site_fract_x
_atom_site_fract_y
_atom_site_fract_z
Tl1 Tl 0.000 0.000 0.000
Tl2 Tl 0.432 0.093 0.537
Zn1 Zn 0.157 0.465 0.622
Zn2 Zn 0.788 0.452 0.250
Pd1 Pd 0.313 0.519 0.315
Pd2 Pd 0.453 0.967 0.921
Pd3 Pd 0.468 0.484 0.950
Pd4 Pd 0.800 0.998 0.319
Pd5 Pd 0.862 0.712 0.604
Pd6 Pd 0.953 0.465 0.923
```

***

5.
DFT (GGA-PBE) results for PaInBi3 after structural relaxation.

Computed properties:
energy of formation = -4 meV/atom
D(E_F) = 1.10 states/eV/atom
total moment = 0.13 μB per atom
VASP energy = -4.78 eV per atom

Geometry as CIF:
```
data_PaInBi3
_cell_length_a 8.504
_cell_length_b 8.504
_cell_length_c 6.537
_cell_angle_alpha 90.00
_cell_angle_beta 90.00
_cell_angle_gamma 141.01
_space_group_name_H-M_alt 'P 1'
_space_group_IT_number 1
loop_
_space_group_symop_operation_xyz
'x,y,z'
loop_
_atom_site_label
_atom_site_type_symbol
_atom_site_fract_x
_atom_site_fract_y
_atom_site_fract_z
Pa1 Pa 0.122 0.878 0.750
Pa2 Pa 0.878 0.122 0.250
In1 In 0.497 0.503 0.250
In2 In 0.503 0.497 0.750
Bi1 Bi 0.086 0.914 0.250
Bi2 Bi 0.313 0.687 0.004
Bi3 Bi 0.313 0.687 0.496
Bi4 Bi 0.687 0.313 0.504
Bi5 Bi 0.687 0.313 0.996
Bi6 Bi 0.914 0.086 0.750
```

***

6.
DFT (GGA-PBE) results for NbCoRh3 after structural relaxation.

Computed properties:
energy of formation = 876 meV/atom
D(E_F) = 1.25 states/eV/atom
total moment = 0.48 μB per atom
VASP energy = -6.97 eV per atom

Geometry as CIF:
```
data_NbCoRh3
_cell_length_a 4.405
_cell_length_b 4.405
_cell_length_c 4.405
_cell_angle_alpha 90.00
_cell_angle_beta 90.00
_cell_angle_gamma 90.00
_space_group_name_H-M_alt 'P 1'
_space_group_IT_number 1
loop_
_space_group_symop_operation_xyz
'x,y,z'
loop_
_atom_site_label
_atom_site_type_symbol
_atom_site_fract_x
_atom_site_fract_y
_atom_site_fract_z
Nb1 Nb 0.000 0.000 0.000
Co1 Co 0.500 0.500 0.500
Rh1 Rh 0.000 0.500 0.500
Rh2 Rh 0.500 0.000 0.500
Rh3 Rh 0.500 0.500 0.000
```

***

7.
DFT (GGA-PBE) results for Rb2MgCoBr6 after structural relaxation.

Computed properties:
D(E_F) = 1.76 states/eV/atom
total moment = 0.30 μB per atom
energy relative to the elements, uncorrected = -11.6 eV per formula unit
VASP energy = -3.23 eV per atom

Geometry as CIF:
```
data_Rb2MgCoBr6
_cell_length_a 7.518
_cell_length_b 7.518
_cell_length_c 7.518
_cell_angle_alpha 60.00
_cell_angle_beta 60.00
_cell_angle_gamma 60.00
_space_group_name_H-M_alt 'P 1'
_space_group_IT_number 1
loop_
_space_group_symop_operation_xyz
'x,y,z'
loop_
_atom_site_label
_atom_site_type_symbol
_atom_site_fract_x
_atom_site_fract_y
_atom_site_fract_z
Rb1 Rb 0.250 0.250 0.250
Rb2 Rb 0.750 0.750 0.750
Mg1 Mg 0.000 0.000 0.000
Co1 Co 0.500 0.500 0.500
Br1 Br 0.254 0.254 0.746
Br2 Br 0.254 0.746 0.254
Br3 Br 0.254 0.746 0.746
Br4 Br 0.746 0.254 0.254
Br5 Br 0.746 0.254 0.746
Br6 Br 0.746 0.746 0.254
```

***

8.
DFT (GGA-PBE) results for Nb2BAsOs after structural relaxation.

Computed properties:
energy of formation = 1353 meV/atom
D(E_F) = 1.29 states/eV/atom
total moment = 0.00 μB per atom
VASP energy = -7.19 eV per atom

Geometry as CIF:
```
data_Nb2BAsOs
_cell_length_a 4.882
_cell_length_b 4.882
_cell_length_c 3.599
_cell_angle_alpha 90.00
_cell_angle_beta 90.00
_cell_angle_gamma 90.00
_space_group_name_H-M_alt 'P 1'
_space_group_IT_number 1
loop_
_space_group_symop_operation_xyz
'x,y,z'
loop_
_atom_site_label
_atom_site_type_symbol
_atom_site_fract_x
_atom_site_fract_y
_atom_site_fract_z
Nb1 Nb 0.000 0.500 0.000
Nb2 Nb 0.500 0.000 0.000
B1 B 0.000 0.000 0.500
As1 As 0.000 0.000 0.000
Os1 Os 0.500 0.500 0.500
```

***

9.
DFT (GGA-PBE) results for CaOsN2O after structural relaxation.

Computed properties:
D(E_F) = 1.20 states/eV/atom
total moment = 0.28 μB per atom
energy relative to the elements, uncorrected = 11.2 eV per formula unit
VASP energy = -4.74 eV per atom

Geometry as CIF:
```
data_CaOsN2O
_cell_length_a 4.157
_cell_length_b 4.157
_cell_length_c 4.077
_cell_angle_alpha 90.00
_cell_angle_beta 90.00
_cell_angle_gamma 90.00
_space_group_name_H-M_alt 'P 1'
_space_group_IT_number 1
loop_
_space_group_symop_operation_xyz
'x,y,z'
loop_
_atom_site_label
_atom_site_type_symbol
_atom_site_fract_x
_atom_site_fract_y
_atom_site_fract_z
Ca1 Ca 0.000 0.000 0.000
Os1 Os 0.500 0.500 0.500
N1 N 0.000 0.500 0.000
N2 N 0.500 0.000 0.000
O1 O 0.000 0.000 0.500
```

***

10.
DFT (GGA-PBE) results for Al7AgAu12 after structural relaxation.

Computed properties:
energy of formation = -249 meV/atom
D(E_F) = 0.38 states/eV/atom
total moment = 0.00 μB per atom
VASP energy = -3.67 eV per atom

Geometry as CIF:
```
data_Al7AgAu12
_cell_length_a 7.574
_cell_length_b 7.574
_cell_length_c 7.574
_cell_angle_alpha 106.93
_cell_angle_beta 106.93
_cell_angle_gamma 106.93
_space_group_name_H-M_alt 'P 1'
_space_group_IT_number 1
loop_
_space_group_symop_operation_xyz
'x,y,z'
loop_
_atom_site_label
_atom_site_type_symbol
_atom_site_fract_x
_atom_site_fract_y
_atom_site_fract_z
Al1 Al 0.000 0.000 0.000
Al2 Al 0.009 0.299 0.404
Al3 Al 0.299 0.404 0.009
Al4 Al 0.404 0.009 0.299
Al5 Al 0.596 0.991 0.701
Al6 Al 0.701 0.596 0.991
Al7 Al 0.991 0.701 0.596
Ag1 Ag 0.500 0.500 0.500
Au1 Au 0.035 0.663 0.941
Au2 Au 0.059 0.965 0.337
Au3 Au 0.250 0.709 0.424
Au4 Au 0.291 0.576 0.750
Au5 Au 0.337 0.059 0.965
Au6 Au 0.424 0.250 0.709
Au7 Au 0.576 0.750 0.291
Au8 Au 0.663 0.941 0.035
Au9 Au 0.709 0.424 0.250
Au10 Au 0.750 0.291 0.576
Au11 Au 0.941 0.035 0.663
Au12 Au 0.965 0.337 0.059
```

***

11.
DFT (GGA-PBE) results for TaSeI3 after structural relaxation.

Computed properties:
D(E_F) = 1.53 states/eV/atom
total moment = 0.76 μB per atom
energy relative to the elements, uncorrected = 6.4 eV per formula unit
VASP energy = -2.72 eV per atom

Geometry as CIF:
```
data_TaSeI3
_cell_length_a 5.697
_cell_length_b 5.697
_cell_length_c 5.697
_cell_angle_alpha 90.00
_cell_angle_beta 90.00
_cell_angle_gamma 90.00
_space_group_name_H-M_alt 'P 1'
_space_group_IT_number 1
loop_
_space_group_symop_operation_xyz
'x,y,z'
loop_
_atom_site_label
_atom_site_type_symbol
_atom_site_fract_x
_atom_site_fract_y
_atom_site_fract_z
Ta1 Ta 0.000 0.000 0.000
Se1 Se 0.500 0.500 0.500
I1 I 0.000 0.500 0.500
I2 I 0.500 0.000 0.500
I3 I 0.500 0.500 0.000
```

***

12.
DFT (GGA-PBE) results for Sr2TlSnPb after structural relaxation.

Computed properties:
energy of formation = -398 meV/atom
D(E_F) = 0.46 states/eV/atom
total moment = 0.00 μB per atom
VASP energy = -3.09 eV per atom

Geometry as CIF:
```
data_Sr2TlSnPb
_cell_length_a 9.105
_cell_length_b 4.649
_cell_length_c 9.484
_cell_angle_alpha 90.00
_cell_angle_beta 117.38
_cell_angle_gamma 90.00
_space_group_name_H-M_alt 'P 1'
_space_group_IT_number 1
loop_
_space_group_symop_operation_xyz
'x,y,z'
loop_
_atom_site_label
_atom_site_type_symbol
_atom_site_fract_x
_atom_site_fract_y
_atom_site_fract_z
Sr1 Sr 0.115 0.250 0.390
Sr2 Sr 0.306 0.250 0.971
Sr3 Sr 0.694 0.750 0.029
Sr4 Sr 0.885 0.750 0.610
Tl1 Tl 0.096 0.750 0.114
Tl2 Tl 0.904 0.250 0.886
Sn1 Sn 0.304 0.750 0.703
Sn2 Sn 0.696 0.250 0.297
Pb1 Pb 0.482 0.750 0.331
Pb2 Pb 0.518 0.250 0.669
```

***

- Which value of VASP energy does entry 6 give?
  -6.97 eV per atom

***

- Look up the VASP energy of the ninth one.
  -4.74 eV per atom